! PaSn2Ir PBE optimized geometry; values from VASP
! density of states at the Fermi level: 1.15 states/eV/atom
! raw total energy: -0.473 Ry per atom
! M_tot: 0.0 Bohr magnetons per cell
&SYSTEM
  ibrav = 0, nat = 4, ntyp = 3
/
ATOMIC_SPECIES
Pa 231.04 Pa.upf
Sn 118.71 Sn.upf
Ir 192.22 Ir.upf
ATOMIC_POSITIONS angstrom
Pa 0.000 0.000 0.000
Sn 0.000 0.000 3.178
Sn 0.000 0.000 28.373
Ir 0.000 0.000 15.775
CELL_PARAMETERS angstrom
1.593 0.920 10.517
-1.593 0.920 10.517
0.000 -1.840 10.517



! PaSnIr4 PBE optimized geometry; values from VASP
! density of states at the Fermi level: 0.89 states/eV/atom
! raw total energy: -0.633 Ry per atom
! M_tot: 0.0 Bohr magnetons per cell
&SYSTEM
  ibrav = 0, nat = 6, ntyp = 3
/
ATOMIC_SPECIES
Pa 231.04 Pa.upf
Sn 118.71 Sn.upf
Ir 192.22 Ir.upf
ATOMIC_POSITIONS angstrom
Pa 0.000 0.000 0.000
Sn 5.664 5.664 5.664
Ir 2.839 2.839 2.839
Ir 4.714 4.714 2.839
Ir 4.714 2.839 4.714
Ir 2.839 4.714 4.714
CELL_PARAMETERS angstrom
0.000 3.776 3.776
3.776 0.000 3.776
3.776 3.776 0.000



! PaTcSnIr PBE optimized geometry; values from VASP
! density of states at the Fermi level: 1.54 states/eV/atom
! raw total energy: -0.622 Ry per atom
! M_tot: 0.5 Bohr magnetons per cell
&SYSTEM
  ibrav = 0, nat = 4, ntyp = 4
/
ATOMIC_SPECIES
Pa 231.04 Pa.upf
Tc 98.00 Tc.upf
Sn 118.71 Sn.upf
Ir 192.22 Ir.upf
ATOMIC_POSITIONS angstrom
Pa 0.000 0.000 0.000
Tc 1.690 1.690 1.690
Sn 3.379 3.379 3.379
Ir 5.069 5.069 5.069
CELL_PARAMETERS angstrom
0.000 3.379 3.379
3.379 0.000 3.379
3.379 3.379 0.000



! PaZnSnIr PBE optimized geometry; values from VASP
! density of states at the Fermi level: 0.48 states/eV/atom
! raw total energy: -0.462 Ry per atom
! M_tot: 0.0 Bohr magnetons per cell
&SYSTEM
  ibrav = 0, nat = 4, ntyp = 4
/
ATOMIC_SPECIES
Pa 231.04 Pa.upf
Zn 65.41 Zn.upf
Sn 118.71 Sn.upf
Ir 192.22 Ir.upf
ATOMIC_POSITIONS angstrom
Pa 0.000 0.000 0.000
Zn 5.115 5.115 5.115
Sn 3.410 3.410 3.410
Ir 1.705 1.705 1.705
CELL_PARAMETERS angstrom
0.000 3.410 3.410
3.410 0.000 3.410
3.410 3.410 0.000



! SrPaIr PBE optimized geometry; values from VASP
! density of states at the Fermi level: 1.33 states/eV/atom
! raw total energy: -0.515 Ry per atom
! M_tot: 0.0 Bohr magnetons per cell
&SYSTEM
  ibrav = 0, nat = 12, ntyp = 3
/
ATOMIC_SPECIES
Sr 87.62 Sr.upf
Pa 231.04 Pa.upf
Ir 192.22 Ir.upf
ATOMIC_POSITIONS angstrom
Sr 0.739 0.000 3.147
Sr 6.492 0.000 1.087
Sr 9.074 0.000 8.501
Sr 14.827 0.000 6.442
Pa 3.900 0.000 8.155
Pa 4.609 0.000 3.909
Pa 10.957 0.000 5.680
Pa 11.666 0.000 1.434
Ir 2.465 0.000 5.806
Ir 3.273 0.000 1.278
Ir 12.294 0.000 8.310
Ir 13.101 0.000 3.783
CELL_PARAMETERS angstrom
7.943 -2.592 0.000
7.943 2.592 0.000
-0.320 0.000 9.588



! Pa2TaIr PBE optimized geometry; values from VASP
! density of states at the Fermi level: 1.38 states/eV/atom
! raw total energy: -0.713 Ry per atom
! M_tot: 0.0 Bohr magnetons per cell
&SYSTEM
  ibrav = 0, nat = 4, ntyp = 3
/
ATOMIC_SPECIES
Pa 231.04 Pa.upf
Ta 180.95 Ta.upf
Ir 192.22 Ir.upf
ATOMIC_POSITIONS angstrom
Pa 0.000 0.000 2.866
Pa 0.000 0.000 28.771
Ta 0.000 0.000 0.000
Ir 0.000 0.000 15.819
CELL_PARAMETERS angstrom
1.518 0.876 10.546
-1.518 0.876 10.546
0.000 -1.753 10.546



! TbPaIr PBE optimized geometry; values from VASP
! density of states at the Fermi level: 1.24 states/eV/atom
! raw total energy: -0.600 Ry per atom
! polymorph energy (0 for the lowest one): 0.0 meV per atom
! M_tot: 0.0 Bohr magnetons per cell
&SYSTEM
  ibrav = 0, nat = 3, ntyp = 3
/
ATOMIC_SPECIES
Tb 158.93 Tb.upf
Pa 231.04 Pa.upf
Ir 192.22 Ir.upf
ATOMIC_POSITIONS angstrom
Tb 0.000 0.000 0.000
Pa 0.000 0.000 3.233
Ir 0.000 0.000 7.441
CELL_PARAMETERS angstrom
-1.796 1.796 5.434
1.796 -1.796 5.434
1.796 1.796 -5.434



! TbPaIr PBE optimized geometry; values from VASP
! density of states at the Fermi level: 1.31 states/eV/atom
! raw total energy: -0.598 Ry per atom
! polymorph energy (0 for the lowest one): 37.9 meV per atom
! M_tot: 0.0 Bohr magnetons per cell
&SYSTEM
  ibrav = 0, nat = 6, ntyp = 3
/
ATOMIC_SPECIES
Tb 158.93 Tb.upf
Pa 231.04 Pa.upf
Ir 192.22 Ir.upf
ATOMIC_POSITIONS angstrom
Tb 0.000 0.000 0.000
Tb 4.884 0.000 4.615
Pa 1.490 0.000 3.059
Pa 9.196 0.000 2.262
Ir 3.635 0.000 0.425
Ir 6.018 0.000 2.012
CELL_PARAMETERS angstrom
5.891 -2.124 0.000
5.891 2.124 0.000
-3.386 0.000 5.632



! TbPaIr PBE optimized geometry; values from VASP
! density of states at the Fermi level: 1.26 states/eV/atom
! raw total energy: -0.581 Ry per atom
! polymorph energy (0 for the lowest one): 269.7 meV per atom
! M_tot: 0.0 Bohr magnetons per cell
&SYSTEM
  ibrav = 0, nat = 3, ntyp = 3
/
ATOMIC_SPECIES
Tb 158.93 Tb.upf
Pa 231.04 Pa.upf
Ir 192.22 Ir.upf
ATOMIC_POSITIONS angstrom
Tb 0.000 0.000 0.000
Pa 2.300 1.328 2.268
Ir 0.000 2.656 1.312
CELL_PARAMETERS angstrom
4.600 0.000 0.000
-2.300 3.984 0.000
0.000 0.000 3.800



! TbPaIr2 PBE optimized geometry; values from VASP
! density of states at the Fermi level: 1.30 states/eV/atom
! raw total energy: -0.636 Ry per atom
! polymorph energy (0 for the lowest one): 234.3 meV per atom
! M_tot: 0.0 Bohr magnetons per cell
&SYSTEM
  ibrav = 0, nat = 4, ntyp = 3
/
ATOMIC_SPECIES
Tb 158.93 Tb.upf
Pa 231.04 Pa.upf
Ir 192.22 Ir.upf
ATOMIC_POSITIONS angstrom
Tb 0.000 0.000 0.000
Pa 3.458 3.458 3.458
Ir 1.729 1.729 1.729
Ir 5.187 5.187 5.187
CELL_PARAMETERS angstrom
0.000 3.458 3.458
3.458 0.000 3.458
3.458 3.458 0.000



! TbPa3Ir4 PBE optimized geometry; values from VASP
! density of states at the Fermi level: 0.92 states/eV/atom
! raw total energy: -0.698 Ry per atom
! M_tot: 0.0 Bohr magnetons per cell
&SYSTEM
  ibrav = 0, nat = 8, ntyp = 3
/
ATOMIC_SPECIES
Tb 158.93 Tb.upf
Pa 231.04 Pa.upf
Ir 192.22 Ir.upf
ATOMIC_POSITIONS angstrom
Tb 0.000 0.000 0.000
Pa 7.611 2.092 2.585
Pa 5.833 0.000 0.010
Pa 7.611 -2.092 2.585
Ir 4.831 1.950 1.664
Ir 2.763 0.000 0.913
Ir 4.831 -1.950 1.664
Ir 8.571 0.000 0.921
CELL_PARAMETERS angstrom
5.828 -4.150 0.000
5.828 4.150 0.000
-1.170 0.000 3.586



! TbPaIr4 PBE optimized geometry; values from VASP
! density of states at the Fermi level: 1.16 states/eV/atom
! raw total energy: -0.664 Ry per atom
! M_tot: 0.0 Bohr magnetons per cell
&SYSTEM
  ibrav = 0, nat = 6, ntyp = 3
/
ATOMIC_SPECIES
Tb 158.93 Tb.upf
Pa 231.04 Pa.upf
Ir 192.22 Ir.upf
ATOMIC_POSITIONS angstrom
Tb 0.000 0.000 0.000
Pa 1.897 1.897 1.897
Ir 4.745 2.843 2.843
Ir 2.843 4.745 2.843
Ir 2.843 2.843 4.745
Ir 4.745 4.745 4.745
CELL_PARAMETERS angstrom
0.000 3.794 3.794
3.794 0.000 3.794
3.794 3.794 0.000



no.,V (Å³/atom),energy of formation (meV per atom)
1,23.12,160
2,17.95,-453
3,19.30,-284
4,19.83,-372
5,32.90,-333
6,21.04,220
7,23.37,-506
8,23.50,-468
9,23.22,-236
10,20.68,-690
11,21.68,-923
12,18.20,-772